5
Lattice="4.818 0.000 0.000 0.000 4.818 0.000 0.000 0.000 4.818" Properties=species:S:1:pos:R:3 comment="TaSi3Mo PBE relaxed" raw_formation_energy_ev_per_atom=1.28 magnetic_moment_mub_per_atom=0.885 space_group="Pm-3m (221)" total_energy_ev_per_cell=-32.57 pbc="T T T"
Ta 0.000 0.000 0.000
Si 0.000 0.000 2.409
Si 0.000 2.409 0.000
Si 2.409 0.000 0.000
Mo 2.409 2.409 2.409